Entry 1:
DFT (GGA-PBE) results for Ba2CdN after structural relaxation.

extended XYZ file:
```
4
Lattice="0.000 3.896 3.896 3.896 0.000 3.896 3.896 3.896 0.000" Properties=species:S:1:pos:R:3 pbc="T T T"
Ba 1.948 1.948 1.948
Ba 5.844 5.844 5.844
Cd 0.000 0.000 0.000
N 3.896 3.896 3.896
```

Properties
**Symmetry**: No. 225
**Energy above the lowest structure with this stoichiometry**: 61.3 kJ/mol of atoms

***

Entry 2:
DFT (GGA-PBE) results for Ba9Cd3N2 after structural relaxation.

extended XYZ file:
```
28
Lattice="8.074 0.000 0.000 -4.037 6.992 0.000 0.000 0.000 20.234" Properties=species:S:1:pos:R:3 pbc="T T T"
Ba -1.880 3.576 5.058
Ba 0.000 2.439 1.808
Ba 0.000 2.439 8.309
Ba -1.924 5.772 1.808
Ba -1.924 5.772 8.309
Ba 2.113 1.220 11.925
Ba 2.113 1.220 18.426
Ba 1.880 3.576 5.058
Ba 0.000 6.832 5.058
Ba 4.037 0.160 15.175
Ba 2.157 3.416 15.175
Ba 1.924 5.772 1.808
Ba 1.924 5.772 8.309
Ba 5.961 1.220 11.925
Ba 5.961 1.220 18.426
Ba 4.037 4.553 11.925
Ba 4.037 4.553 18.426
Ba 5.917 3.416 15.175
Cd 0.000 0.000 5.058
Cd 0.000 0.000 15.175
Cd 0.000 4.661 11.575
Cd 0.000 4.661 18.776
Cd 4.037 2.331 1.458
Cd 4.037 2.331 8.659
N 0.000 4.661 3.273
N 0.000 4.661 6.844
N 4.037 2.331 13.390
N 4.037 2.331 16.961
```

Properties
**Symmetry**: No. 194

***

no.,M_tot (μB/atom),total DFT energy (no corrections) (eV/atom)
1,0.0000,-2.942
2,0.0130,-2.897